BPbC2: optimized geometry, PBE.

```
data_BPbC2
_chemical_formula_sum 'B4 Pb4 C8'
_cell_length_a 5.847
_cell_length_b 5.847
_cell_length_c 5.847
_cell_angle_alpha 90.00
_cell_angle_beta 90.00
_cell_angle_gamma 90.00
_space_group_name_H-M_alt 'F m -3 m'
_space_group_IT_number 225
_space_group_name_Hall '-F 4 2 3'
loop_
_atom_site_label
_atom_site_fract_x
_atom_site_fract_y
_atom_site_fract_z
B1 0.000 0.000 0.000
Pb1 0.000 0.000 0.500
C1 0.250 0.250 0.250
```

Output
Formation energy from the elements   3.08 eV/atom
Mass density   8.04 Mg/m³
Crystal system   cubic
Energy above the most stable polymorph in this dataset   7.65 eV/f.u.

BPbC2: optimized geometry, PBE.

```
data_BPbC2
_chemical_formula_sum 'B4 Pb4 C8'
_cell_length_a 4.606
_cell_length_b 4.606
_cell_length_c 8.794
_cell_angle_alpha 90.00
_cell_angle_beta 90.00
_cell_angle_gamma 90.00
_space_group_name_H-M_alt 'I -4 2 d'
_space_group_IT_number 122
_space_group_name_Hall 'I -4 2bw'
loop_
_atom_site_label
_atom_site_fract_x
_atom_site_fract_y
_atom_site_fract_z
B1 0.000 0.000 0.000
Pb1 0.000 0.000 0.500
C1 0.132 0.250 0.125
```

Output
Formation energy from the elements   1.17 eV/atom
Mass density   8.62 Mg/m³
Crystal system   tetragonal
Energy above the most stable polymorph in this dataset   0.00 eV/f.u.

BPbC: optimized geometry, PBE.

```
data_BPbC
_chemical_formula_sum 'B4 Pb4 C4'
_cell_length_a 11.623
_cell_length_b 5.914
_cell_length_c 3.298
_cell_angle_alpha 90.00
_cell_angle_beta 105.80
_cell_angle_gamma 90.00
_space_group_name_H-M_alt 'C 1 2 1'
_space_group_IT_number 5
loop_
_space_group_symop_operation_xyz
'x,y,z'
'-x,y,-z'
'x+1/2,y+1/2,z'
'-x+1/2,y+1/2,-z'
loop_
_atom_site_label
_atom_site_fract_x
_atom_site_fract_y
_atom_site_fract_z
B1 0.000 0.000 0.247
Pb1 0.168 0.306 0.163
C1 0.000 0.554 0.000
C2 0.000 0.773 0.000
```

Output
Formation energy from the elements   0.73 eV/atom
Mass density   7.00 Mg/m³
Crystal system   monoclinic
Energy above the most stable polymorph in this dataset   0.35 eV/f.u.

BPbC3: optimized geometry, PBE.

```
data_BPbC3
_chemical_formula_sum 'B1 Pb1 C3'
_cell_length_a 3.735
_cell_length_b 3.735
_cell_length_c 3.735
_cell_angle_alpha 90.00
_cell_angle_beta 90.00
_cell_angle_gamma 90.00
_space_group_name_H-M_alt 'P m -3 m'
_space_group_IT_number 221
_space_group_name_Hall '-P 4 2 3'
loop_
_atom_site_label
_atom_site_fract_x
_atom_site_fract_y
_atom_site_fract_z
B1 0.000 0.000 0.000
Pb1 0.500 0.500 0.500
C1 0.000 0.000 0.500
```

Output
Formation energy from the elements   2.56 eV/atom
Mass density   8.09 Mg/m³
Crystal system   cubic
Energy above the most stable polymorph in this dataset   0.00 eV/f.u.

B2PbC: optimized geometry, PBE.

```
data_B2PbC
_chemical_formula_sum 'B8 Pb4 C4'
_cell_length_a 5.950
_cell_length_b 5.950
_cell_length_c 5.950
_cell_angle_alpha 90.00
_cell_angle_beta 90.00
_cell_angle_gamma 90.00
_space_group_name_H-M_alt 'F m -3 m'
_space_group_IT_number 225
_space_group_name_Hall '-F 4 2 3'
loop_
_atom_site_label
_atom_site_fract_x
_atom_site_fract_y
_atom_site_fract_z
B1 0.250 0.250 0.250
Pb1 0.000 0.000 0.000
C1 0.000 0.000 0.500
```

Output
Formation energy from the elements   2.79 eV/atom
Mass density   7.60 Mg/m³
Crystal system   cubic
Energy above the most stable polymorph in this dataset   7.59 eV/f.u.

BPbC: optimized geometry, PBE.

```
data_BPbC
_chemical_formula_sum 'B2 Pb2 C2'
_cell_length_a 3.811
_cell_length_b 2.938
_cell_length_c 8.812
_cell_angle_alpha 90.00
_cell_angle_beta 90.00
_cell_angle_gamma 90.00
_space_group_name_H-M_alt 'A m m 2'
_space_group_IT_number 38
loop_
_space_group_symop_operation_xyz
'x,y,z'
'-x,-y,z'
'-x,y,z'
'x,-y,z'
'x,y+1/2,z+1/2'
'-x,-y+1/2,z+1/2'
'-x,y+1/2,z+1/2'
'x,-y+1/2,z+1/2'
loop_
_atom_site_label
_atom_site_fract_x
_atom_site_fract_y
_atom_site_fract_z
B1 0.000 0.000 0.000
Pb1 0.500 0.000 0.273
C1 0.000 0.000 0.485
```

Output
Formation energy from the elements   0.62 eV/atom
Mass density   7.74 Mg/m³
Crystal system   orthorhombic
Energy above the most stable polymorph in this dataset   0.03 eV/f.u.

BPb3C: optimized geometry, PBE.

```
data_BPb3C
_chemical_formula_sum 'B1 Pb3 C1'
_cell_length_a 4.933
_cell_length_b 4.933
_cell_length_c 4.933
_cell_angle_alpha 90.00
_cell_angle_beta 90.00
_cell_angle_gamma 90.00
_space_group_name_H-M_alt 'P m -3 m'
_space_group_IT_number 221
_space_group_name_Hall '-P 4 2 3'
loop_
_atom_site_label
_atom_site_fract_x
_atom_site_fract_y
_atom_site_fract_z
B1 0.000 0.000 0.000
Pb1 0.000 0.500 0.500
C1 0.500 0.500 0.500
```

Output
Formation energy from the elements   1.70 eV/atom
Mass density   8.92 Mg/m³
Crystal system   cubic
Energy above the most stable polymorph in this dataset   0.00 eV/f.u.

BPbC: optimized geometry, PBE.

```
data_BPbC
_chemical_formula_sum 'B2 Pb2 C2'
_cell_length_a 3.307
_cell_length_b 5.938
_cell_length_c 6.046
_cell_angle_alpha 114.37
_cell_angle_beta 92.42
_cell_angle_gamma 99.83
_space_group_name_H-M_alt 'P 1'
_space_group_IT_number 1
loop_
_space_group_symop_operation_xyz
'x,y,z'
loop_
_atom_site_label
_atom_site_fract_x
_atom_site_fract_y
_atom_site_fract_z
B1 0.000 0.000 0.000
B2 0.496 0.989 0.000
Pb1 0.388 0.508 0.708
Pb2 0.894 0.839 0.344
C1 0.818 0.220 0.001
C2 0.857 0.442 0.992
```

Output
Formation energy from the elements   0.76 eV/atom
Mass density   7.23 Mg/m³
Crystal system   triclinic
Energy above the most stable polymorph in this dataset   0.45 eV/f.u.

Copy entry 5 word for word.
B2PbC: optimized geometry, PBE.

```
data_B2PbC
_chemical_formula_sum 'B8 Pb4 C4'
_cell_length_a 5.950
_cell_length_b 5.950
_cell_length_c 5.950
_cell_angle_alpha 90.00
_cell_angle_beta 90.00
_cell_angle_gamma 90.00
_space_group_name_H-M_alt 'F m -3 m'
_space_group_IT_number 225
_space_group_name_Hall '-F 4 2 3'
loop_
_atom_site_label
_atom_site_fract_x
_atom_site_fract_y
_atom_site_fract_z
B1 0.250 0.250 0.250
Pb1 0.000 0.000 0.000
C1 0.000 0.000 0.500
```

Output
Formation energy from the elements   2.79 eV/atom
Mass density   7.60 Mg/m³
Crystal system   cubic
Energy above the most stable polymorph in this dataset   7.59 eV/f.u.

Number 1 is which compound? BPbC2

Please write out number 4 again, unchanged.
BPbC3: optimized geometry, PBE.

```
data_BPbC3
_chemical_formula_sum 'B1 Pb1 C3'
_cell_length_a 3.735
_cell_length_b 3.735
_cell_length_c 3.735
_cell_angle_alpha 90.00
_cell_angle_beta 90.00
_cell_angle_gamma 90.00
_space_group_name_H-M_alt 'P m -3 m'
_space_group_IT_number 221
_space_group_name_Hall '-P 4 2 3'
loop_
_atom_site_label
_atom_site_fract_x
_atom_site_fract_y
_atom_site_fract_z
B1 0.000 0.000 0.000
Pb1 0.500 0.500 0.500
C1 0.000 0.000 0.500
```

Output
Formation energy from the elements   2.56 eV/atom
Mass density   8.09 Mg/m³
Crystal system   cubic
Energy above the most stable polymorph in this dataset   0.00 eV/f.u.

Which formula does entry 1 have? BPbC2